Entry from the Alexandria database: a relaxed structure of Pr6AgI8 (PBE).

Calculated values
- Volume: 40.27 A^3/atom
- Mass density: 5.4 g cm⁻³
- Space group: No. 148
- Uncorrected formation energy: -1045.6 meV per atom

POSCAR file:
```
Pr6AgI8
1.0
3.8462 2.2206 11.7870
-3.8462 2.2206 11.7870
0.0000 -4.4413 11.7870
Pr Ag I
6 1 8
direct
0.1342 0.4485 0.7632
0.2368 0.8658 0.5515
0.4485 0.7632 0.1342
0.5515 0.2368 0.8658
0.7632 0.1342 0.4485
0.8658 0.5515 0.2368
0.5000 0.5000 0.5000
0.0506 0.7331 0.3921
0.1667 0.1667 0.1667
0.2669 0.6079 0.9494
0.3921 0.0506 0.7331
0.6079 0.9494 0.2669
0.7331 0.3921 0.0506
0.8333 0.8333 0.8333
0.9494 0.2669 0.6079
```

=====

Entry from the Alexandria database: a relaxed structure of HfMgCo (PBE).

Calculated values
- Volume: 17.71 A^3/atom
- Mass density: 8.2 g cm⁻³
- Space group: No. 63
- Calculated formation energy: -0.182 eV per atom
- Energy relative to the lowest polymorph listed for this composition: 0 meV per atom

POSCAR file:
```
HfMgCo
1.0
1.5188 -7.8128 0.0000
1.5188 7.8128 0.0000
0.0000 0.0000 4.4778
Hf Mg Co
2 2 2
direct
0.0756 0.9244 0.7500
0.9244 0.0756 0.2500
0.2096 0.7904 0.2500
0.7904 0.2096 0.7500
0.4416 0.5584 0.7500
0.5584 0.4416 0.2500
```

=====

| no. | magnetization (μB/cell) |
| --- | --- |
| 1 | 0.00 |
| 2 | 0.00 |